## Mg2AuCl (PBE)

Data for a relaxed Mg2AuCl crystal.

a b c (Å): 6.9327 3.3084 8.3179
angles (deg): 90.00 113.75 90.00
Space group C2/m (No. 12)
Asymmetric unit:
Mg 0.0863 0.0000 0.2739 (multiplicity 4)
Au 0.0000 0.5000 0.5000 (multiplicity 2)
Cl 0.0000 0.5000 0.0000 (multiplicity 2)

As for the formation energy from raw total energies: -763 meV/atom. The calculation puts the raw total energy at -2.8408 eV per atom. As for the calculated density: 5.34 g/cm³. Its distance to the lowest polymorph of the same formula is 88 meV/atom.